# 1
This record from Alexandria via LeMat-Bulk describes a relaxed HgSb3Se crystal. The functional is PBE.

Calculated values
The calculation puts the total energy at -2.612 eV per atom. Its total moment is 0.00 μB per cell. The value obtained for the density of states at the Fermi level is 6.6 states/eV/f.u. Its uncorrected formation energy is 619 meV per atom.

abc: 5.480 5.480 5.480
angles: 90.00 90.00 90.00
Positions (direct):
Hg1 0.500 0.500 0.500
Sb1 0.000 0.000 0.500
Sb2 0.500 0.000 0.000
Sb3 0.000 0.500 0.000
Se1 0.000 0.000 0.000

---

# 2
This record from Alexandria via LeMat-Bulk describes a relaxed TaGa2Fe2 crystal. The functional is PBE.

Calculated values
The calculation puts the total energy at -6.918 eV per atom. Its formation energy is 0.05 eV/atom. Its total moment is 4.91 μB per cell. The value obtained for the density of states at the Fermi level is 3.4 states/eV/f.u.

abc: 3.604 3.604 6.184
angles: 73.06 73.06 90.00
Positions (direct):
Ta1 0.000 0.000 0.000
Ga1 0.395 0.395 0.210
Ga2 0.605 0.605 0.790
Fe1 0.750 0.250 0.500
Fe2 0.250 0.750 0.500

---

# 3
This record from Alexandria via LeMat-Bulk describes a relaxed CaGdHgAu crystal. The functional is PBE.

Calculated values
The calculation puts the total energy at -5.571 eV per atom. Its formation energy is -0.66 eV/atom. Its total moment is 7.15 μB per cell. The value obtained for the density of states at the Fermi level is 3.3 states/eV/f.u.

abc: 5.223 5.223 5.223
angles: 60.00 60.00 60.00
Positions (direct):
Au1 0.000 0.000 0.000
Hg1 0.500 0.500 0.500
Ca1 0.250 0.250 0.250
Gd1 0.750 0.750 0.750

---

# 4
This record from Alexandria via LeMat-Bulk describes a relaxed ZrCd2Pd3 crystal. The functional is PBE.

Calculated values
The calculation puts the total energy at -4.828 eV per atom. Its formation energy is -0.50 eV/atom. Its total moment is 0.00 μB per cell. The value obtained for the density of states at the Fermi level is 3.5 states/eV/f.u.

abc: 3.456 3.456 9.082
angles: 90.00 90.00 90.00
Positions (direct):
Pd1 0.000 0.000 0.662
Zr1 0.500 0.500 0.500
Pd2 0.000 0.000 0.000
Cd1 0.500 0.500 0.163
Cd2 0.500 0.500 0.837
Pd3 0.000 0.000 0.338

---

# 5
This record from Alexandria via LeMat-Bulk describes a relaxed YErLu crystal. The functional is PBE.

Calculated values
The calculation puts the total energy at -5.151 eV per atom. Its formation energy is 0.03 eV/atom. Its total moment is 0.00 μB per cell. The value obtained for the density of states at the Fermi level is 4.2 states/eV/f.u.

abc: 3.509 3.509 7.877
angles: 102.87 102.87 90.00
Positions (direct):
Er1 0.332 0.332 0.663
Y1 0.001 0.001 0.001
Lu1 0.668 0.668 0.336

---

# 6
This record from Alexandria via LeMat-Bulk describes a relaxed Ac3B2Pt7 crystal. The functional is PBE.

Calculated values
The calculation puts the total energy at -6.416 eV per atom. Its formation energy is -0.75 eV/atom. Its total moment is 0.00 μB per cell. The value obtained for the density of states at the Fermi level is 4.1 states/eV/f.u.

abc: 4.131 4.255 14.025
angles: 98.73 90.00 90.00
Positions (direct):
B1 0.000 0.921 0.842
Pt1 0.000 0.601 0.201
Pt2 0.500 0.102 0.203
Ac1 0.500 0.307 0.614
Pt3 0.000 0.000 0.000
Pt4 0.500 0.898 0.797
Pt5 0.000 0.399 0.799
Pt6 0.000 0.824 0.649
Ac2 0.500 0.500 0.000
Ac3 0.500 0.693 0.386
B2 0.000 0.079 0.158
Pt7 0.000 0.176 0.351

---

# 7
This record from Alexandria via LeMat-Bulk describes a relaxed Ce2As3Rh2 crystal. The functional is PBE.

Calculated values
The calculation puts the total energy at -6.778 eV per atom. Its formation energy is -0.99 eV/atom. Its total moment is 0.43 μB per cell. The value obtained for the density of states at the Fermi level is 6.9 states/eV/f.u.

abc: 4.156 7.199 9.538
angles: 90.00 102.58 90.00
Positions (direct):
Ce1 0.849 0.750 0.697
As1 0.570 0.035 0.140
As2 0.570 0.465 0.140
Rh1 0.299 0.452 0.598
Rh2 0.701 0.548 0.402
Rh3 0.299 0.048 0.598
Rh4 0.701 0.952 0.402
As3 0.222 0.750 0.444
Ce2 0.945 0.250 0.890
As4 0.778 0.250 0.556
As5 0.430 0.965 0.860
Ce3 0.055 0.750 0.110
Ce4 0.151 0.250 0.303
As6 0.430 0.535 0.860

---

# 8
This record from Alexandria via LeMat-Bulk describes a relaxed PaTcSb3 crystal. The functional is PBE.

Calculated values
The calculation puts the total energy at -6.556 eV per atom. Its total moment is 0.00 μB per cell. The value obtained for the density of states at the Fermi level is 2.0 states/eV/f.u. Its uncorrected formation energy is -110 meV per atom.

abc: 8.529 8.189 8.189
angles: 100.26 102.53 102.53
Positions (direct):
Sb1 0.417 0.784 0.961
Tc1 0.250 0.797 0.203
Pa1 0.047 0.653 0.830
Sb2 0.142 0.330 0.891
Sb3 0.642 0.891 0.330
Sb4 0.583 0.216 0.039
Sb5 0.917 0.961 0.784
Sb6 0.358 0.109 0.670
Pa2 0.953 0.347 0.170
Sb7 0.353 0.522 0.313
Pa3 0.547 0.830 0.653
Tc2 0.750 0.956 0.044
Sb8 0.858 0.670 0.109
Sb9 0.647 0.478 0.687
Tc3 0.250 0.044 0.956
Sb10 0.853 0.313 0.522
Sb11 0.083 0.039 0.216
Sb12 0.147 0.687 0.478
Tc4 0.750 0.203 0.797
Pa4 0.453 0.170 0.347